[1]
Computed, not measured: an optimized crystal structure of Ta3MoRu at the PBE level of DFT.

Geometry as CIF:
```
data_Ta3MoRu
_chemical_formula_sum 'Ta3 Mo1 Ru1'
_symmetry_space_group_name_H-M 'P m -3 m'
_symmetry_Int_Tables_number 221
_symmetry_space_group_name_Hall '-P 4 2 3'
_cell_length_a 4.730
_cell_length_b 4.730
_cell_length_c 4.730
_cell_angle_alpha 90.00
_cell_angle_beta 90.00
_cell_angle_gamma 90.00
loop_
_atom_site_label
_atom_site_fract_x
_atom_site_fract_y
_atom_site_fract_z
Ta1 0.000 0.000 0.500
Mo1 0.500 0.500 0.500
Ru1 0.000 0.000 0.000
```

Values from the calculation:
For the total energy, the calculation gives -48.79 eV for the cell shown. The calculation puts the formation energy at 1.37 eV per atom. The calculation puts the relative energy among the computed polymorphs at 1711 meV/atom.



[2]
Computed, not measured: an optimized crystal structure of CrRe3 at the PBE level of DFT.

Geometry as CIF:
```
data_CrRe3
_chemical_formula_sum 'Cr2 Re6'
_symmetry_space_group_name_H-M 'P m m n'
_symmetry_Int_Tables_number 59
_cell_length_a 4.456
_cell_length_b 5.448
_cell_length_c 4.717
_cell_angle_alpha 90.00
_cell_angle_beta 90.00
_cell_angle_gamma 90.00
loop_
_symmetry_equiv_pos_as_xyz
'x,y,z'
'-x,-y,-z'
'-x+1/2,-y+1/2,z'
'x+1/2,y+1/2,-z'
'x+1/2,-y,-z'
'-x+1/2,y,z'
'-x,y+1/2,-z'
'x,-y+1/2,z'
loop_
_atom_site_label
_atom_site_fract_x
_atom_site_fract_y
_atom_site_fract_z
Cr1 0.250 0.250 0.170
Re1 0.250 0.001 0.668
Re2 0.250 0.750 0.159
```

Values from the calculation:
For the total energy, the calculation gives -92.98 eV for the cell shown. The calculation puts the formation energy at 0.12 eV per atom.